--- i ---
This record from the Alexandria database describes crystalline Mg4Au at its relaxed geometry. The functional is PBE.

a b c (Å): 6.2981 6.2981 6.2981
angles (deg): 90.00 90.00 90.00
Space group Im-3m (No. 229)
Inequivalent atoms, fractional coordinates:
Mg: 0.2500 0.2500 0.2500 (multiplicity 8)
Au: 0.0000 0.0000 0.0000 (multiplicity 2)

Calculated volume ... 24.98 A^3/atom

***

--- ii ---
This record from the Alexandria database describes crystalline Mg4Au at its relaxed geometry. The functional is PBE.

a b c (Å): 7.6029 7.6029 3.5601
angles (deg): 90.00 90.00 90.00
Space group I4/m (No. 87)
Inequivalent atoms, fractional coordinates:
Mg: 0.0824 0.7200 0.0000 (multiplicity 8)
Au: 0.0000 0.0000 0.5000 (multiplicity 2)

Calculated volume ... 20.58 A^3/atom

***

Tell me which of them is the most stable. Sure, it is ii.